[1]
The following is a DFT calculation (PBE) of crystalline BeAlRe2 at its relaxed geometry.

D(E_F)	0.3924	states/eV per atom
E_tot	-8.04	eV/atom
energy above the lowest structure with this stoichiometry	1.12	eV/f.u.
ΔE_f	47	meV per atom

Lattice parameters (Å, degrees): 2.6728 2.6728 7.9446 90.00 90.00 109.30
Fractional coordinates of all 4 atoms:
Re1 0.0000 0.0000 0.9836
Re2 0.0000 0.0000 0.5164
Al1 0.5000 0.5000 0.2500
Be1 0.5000 0.5000 0.7500



[2]
The following is a DFT calculation (PBE) of crystalline BeAlRe2 at its relaxed geometry.

D(E_F)	1.1749	states/eV per atom
E_tot	-7.91	eV/atom
energy above the lowest structure with this stoichiometry	1.67	eV/f.u.
ΔE_f	184	meV per atom

Lattice parameters (Å, degrees): 4.2013 4.2013 4.2013 60.00 60.00 60.00
Fractional coordinates of all 4 atoms:
Re1 0.2500 0.2500 0.2500
Re2 0.7500 0.7500 0.7500
Al1 0.5000 0.5000 0.5000
Be1 0.0000 0.0000 0.0000



[3]
The following is a DFT calculation (PBE) of crystalline BeAl2Re at its relaxed geometry.

D(E_F)	0.4248	states/eV per atom
E_tot	-5.79	eV/atom
ΔE_f	123	meV per atom

Lattice parameters (Å, degrees): 2.6933 2.6933 7.6683 90.00 90.00 90.00
Fractional coordinates of all 4 atoms:
Re1 0.5000 0.5000 0.7251
Al1 0.0000 0.0000 0.9854
Al2 0.5000 0.5000 0.2802
Be1 0.0000 0.0000 0.5093



[4]
The following is a DFT calculation (PBE) of crystalline BeAlRe2 at its relaxed geometry.

D(E_F)	1.2569	states/eV per atom
E_tot	-8.01	eV/atom
energy above the lowest structure with this stoichiometry	1.26	eV/f.u.
ΔE_f	82	meV per atom

Lattice parameters (Å, degrees): 8.3332 8.3332 8.3332 19.12 19.12 19.12
Fractional coordinates of all 4 atoms:
Re1 0.0051 0.0051 0.0051
Re2 0.4949 0.4949 0.4949
Al1 0.2500 0.2500 0.2500
Be1 0.7500 0.7500 0.7500



[5]
The following is a DFT calculation (PBE) of crystalline BeAl2Re at its relaxed geometry.

D(E_F)	0.3065	states/eV per atom
E_tot	-5.73	eV/atom
ΔE_f	185	meV per atom

Lattice parameters (Å, degrees): 2.7014 2.7014 8.0208 90.00 90.00 108.27
Fractional coordinates of all 4 atoms:
Re1 0.5000 0.5000 0.7500
Al1 0.0000 0.0000 0.0112
Al2 0.0000 0.0000 0.4888
Be1 0.5000 0.5000 0.2500



[6]
The following is a DFT calculation (PBE) of crystalline BeAlRe at its relaxed geometry.

D(E_F)	0.4755	states/eV per atom
E_tot	-6.34	eV/atom
energy above the lowest structure with this stoichiometry	1.21	eV/f.u.
ΔE_f	296	meV per atom

Lattice parameters (Å, degrees): 3.8469 3.8469 3.8469 60.00 60.00 60.00
Fractional coordinates of all 3 atoms:
Re1 0.0000 0.0000 0.0000
Al1 0.5000 0.5000 0.5000
Be1 0.7500 0.7500 0.7500



[7]
The following is a DFT calculation (PBE) of crystalline BeAlRe at its relaxed geometry.

D(E_F)	0.5212	states/eV per atom
E_tot	-6.75	eV/atom
energy above the lowest structure with this stoichiometry	0.00	eV/f.u.
ΔE_f	-108	meV per atom

Lattice parameters (Å, degrees): 4.0922 4.0922 2.6209 90.00 90.00 120.00
Fractional coordinates of all 3 atoms:
Re1 0.6667 0.3333 0.6659
Al1 0.0000 0.0000 0.1654
Be1 0.3333 0.6667 0.1688



[8]
The following is a DFT calculation (PBE) of crystalline BeAl2Re at its relaxed geometry.

D(E_F)	0.3614	states/eV per atom
E_tot	-5.78	eV/atom
ΔE_f	133	meV per atom

Lattice parameters (Å, degrees): 2.6904 2.6904 7.8598 90.00 90.00 101.69
Fractional coordinates of all 4 atoms:
Re1 0.5000 0.5000 0.7263
Al1 0.0000 0.0000 0.9872
Al2 0.5000 0.5000 0.2764
Be1 0.0000 0.0000 0.5101



[9]
The following is a DFT calculation (PBE) of crystalline BeAlRe at its relaxed geometry.

D(E_F)	0.8848	states/eV per atom
E_tot	-5.92	eV/atom
energy above the lowest structure with this stoichiometry	2.49	eV/f.u.
ΔE_f	722	meV per atom

Lattice parameters (Å, degrees): 4.0566 4.0566 4.0566 60.00 60.00 60.00
Last column: magnetic moment on the atom in μB.
Fractional coordinates of all 3 atoms:
Re1 0.7500 0.7500 0.7500  0.61
Al1 0.0000 0.0000 0.0000  -0.01
Be1 0.5000 0.5000 0.5000  -0.02



[10]
The following is a DFT calculation (PBE) of crystalline BeAl2Re at its relaxed geometry.

D(E_F)	0.2073	states/eV per atom
E_tot	-5.92	eV/atom
ΔE_f	-3	meV per atom

Lattice parameters (Å, degrees): 4.1676 2.6513 4.9450 79.76 90.00 90.00
Fractional coordinates of all 4 atoms:
Re1 0.5000 0.7500 0.7500
Al1 0.0000 0.0956 0.0080
Al2 0.0000 0.4044 0.4920
Be1 0.5000 0.2500 0.2500



[11]
The following is a DFT calculation (PBE) of crystalline BeAlRe2 at its relaxed geometry.

D(E_F)	1.0510	states/eV per atom
E_tot	-7.88	eV/atom
energy above the lowest structure with this stoichiometry	1.78	eV/f.u.
ΔE_f	211	meV per atom

Lattice parameters (Å, degrees): 4.6826 4.6826 2.7023 90.00 90.00 112.63
Fractional coordinates of all 4 atoms:
Re1 0.0000 0.0000 0.0000
Re2 0.5000 0.5000 0.0000
Al1 0.5000 0.0000 0.5000
Be1 0.0000 0.5000 0.5000



[12]
The following is a DFT calculation (PBE) of crystalline BeAl2Re at its relaxed geometry.

D(E_F)	0.8054	states/eV per atom
E_tot	-5.77	eV/atom
ΔE_f	148	meV per atom

Lattice parameters (Å, degrees): 4.2216 4.2216 4.2216 60.00 60.00 60.00
Fractional coordinates of all 4 atoms:
Re1 0.7500 0.7500 0.7500
Al1 0.0000 0.0000 0.0000
Al2 0.2500 0.2500 0.2500
Be1 0.5000 0.5000 0.5000



[13]
The following is a DFT calculation (PBE) of crystalline BeAl2Re at its relaxed geometry.

D(E_F)	0.7074	states/eV per atom
E_tot	-5.99	eV/atom
ΔE_f	-79	meV per atom

Lattice parameters (Å, degrees): 3.1957 3.2032 5.2963 90.00 90.00 90.00
Fractional coordinates of all 4 atoms:
Re1 0.5000 0.5000 0.7387
Al1 0.0000 0.0000 0.9794
Al2 0.5000 0.5000 0.2652
Be1 0.0000 0.0000 0.5167



[14]
The following is a DFT calculation (PBE) of crystalline BeAl4Re at its relaxed geometry.

D(E_F)	0.5293	states/eV per atom
E_tot	-4.94	eV/atom
ΔE_f	249	meV per atom

Lattice parameters (Å, degrees): 4.9680 4.9680 4.9680 60.00 60.00 60.00
Fractional coordinates of all 6 atoms:
Be1 0.7500 0.7500 0.7500
Al1 0.8763 0.3746 0.3746
Al2 0.3746 0.3746 0.8763
Al3 0.3746 0.8763 0.3746
Al4 0.3746 0.3746 0.3746
Re1 0.0000 0.0000 0.0000



[15]
The following is a DFT calculation (PBE) of crystalline BeAlRe2 at its relaxed geometry.

D(E_F)	0.6582	states/eV per atom
E_tot	-7.93	eV/atom
energy above the lowest structure with this stoichiometry	1.59	eV/f.u.
ΔE_f	165	meV per atom

Lattice parameters (Å, degrees): 3.9396 3.7183 3.7183 90.00 90.00 90.00
Fractional coordinates of all 4 atoms:
Re1 0.0000 0.0000 0.0000
Re2 0.0000 0.5000 0.5000
Al1 0.5000 0.5000 0.0000
Be1 0.5000 0.0000 0.5000



[16]
The following is a DFT calculation (PBE) of crystalline BeAlRe2 at its relaxed geometry.

D(E_F)	0.4655	states/eV per atom
E_tot	-8.32	eV/atom
energy above the lowest structure with this stoichiometry	0.00	eV/f.u.
ΔE_f	-233	meV per atom

Lattice parameters (Å, degrees): 3.0046 3.0046 5.8741 90.00 90.00 90.00
Fractional coordinates of all 4 atoms:
Re1 0.0000 0.0000 0.9795
Re2 0.5000 0.5000 0.2408
Al1 0.0000 0.0000 0.5221
Be1 0.5000 0.5000 0.7576



[17]
The following is a DFT calculation (PBE) of crystalline BeAl2Re at its relaxed geometry.

D(E_F)	0.5168	states/eV per atom
E_tot	-5.90	eV/atom
ΔE_f	16	meV per atom

Lattice parameters (Å, degrees): 4.6351 4.6351 2.7072 90.01 90.01 110.34
Fractional coordinates of all 4 atoms:
Re1 0.0000 0.5000 0.5000
Al1 0.0000 0.0000 0.0000
Al2 0.5000 0.5000 0.0000
Be1 0.5000 0.0000 0.5000



[18]
The following is a DFT calculation (PBE) of crystalline BeAl2Re at its relaxed geometry.

D(E_F)	0.2497	states/eV per atom
E_tot	-6.14	eV/atom
ΔE_f	-221	meV per atom

Lattice parameters (Å, degrees): 4.7805 4.7805 4.7805 139.93 130.82 65.23
Fractional coordinates of all 4 atoms:
Re1 0.2661 0.7661 0.5000
Al1 0.0040 0.0040 0.0000
Al2 0.7353 0.2353 0.5000
Be1 0.4946 0.4946 0.0000



[19]
The following is a DFT calculation (PBE) of crystalline BeAlRe2 at its relaxed geometry.

D(E_F)	0.8159	states/eV per atom
E_tot	-8.08	eV/atom
energy above the lowest structure with this stoichiometry	0.97	eV/f.u.
ΔE_f	8	meV per atom

Lattice parameters (Å, degrees): 2.9356 2.9373 6.0625 90.00 90.00 90.00
Fractional coordinates of all 4 atoms:
Re1 0.0000 0.0000 0.9590
Re2 0.0000 0.0000 0.5410
Al1 0.5000 0.5000 0.2500
Be1 0.5000 0.5000 0.7500



[20]
The following is a DFT calculation (PBE) of crystalline BeAl2Re at its relaxed geometry.

D(E_F)	0.3386	states/eV per atom
E_tot	-5.43	eV/atom
ΔE_f	480	meV per atom

Lattice parameters (Å, degrees): 6.8232 6.8232 5.4000 50.82 50.82 90.00
Fractional coordinates of all 8 atoms:
Re1 0.0000 0.0000 0.0000
Re2 0.7500 0.2500 0.5000
Al1 0.5810 0.1250 0.2500
Al2 0.1690 0.6250 0.2500
Al3 0.3750 0.4190 0.7500
Al4 0.8750 0.8310 0.7500
Be1 0.5000 0.5000 0.0000
Be2 0.2500 0.7500 0.5000



[21]
The following is a DFT calculation (PBE) of crystalline BeAlRe2 at its relaxed geometry.

D(E_F)	0.4312	states/eV per atom
E_tot	-7.88	eV/atom
energy above the lowest structure with this stoichiometry	1.78	eV/f.u.
ΔE_f	211	meV per atom

Lattice parameters (Å, degrees): 2.7075 2.7075 8.3879 90.00 90.00 114.90
Fractional coordinates of all 4 atoms:
Re1 0.0000 0.0000 0.9843
Re2 0.5000 0.5000 0.2474
Al1 0.0000 0.0000 0.5132
Be1 0.5000 0.5000 0.7551



[22]
The following is a DFT calculation (PBE) of crystalline Be2AlRe2Ru5 at its relaxed geometry.

D(E_F)	0.5756	states/eV per atom
E_tot	-8.42	eV/atom
ΔE_f	-173	meV per atom

Lattice parameters (Å, degrees): 2.9405 9.2918 9.2918 90.00 90.00 90.00
Fractional coordinates of all 20 atoms:
Be1 0.0000 0.1261 0.6261
Be2 0.0000 0.8739 0.3739
Be3 0.0000 0.6261 0.8739
Be4 0.0000 0.3739 0.1261
Al1 0.0000 0.0000 0.0000
Al2 0.0000 0.5000 0.5000
Re1 0.0000 0.6781 0.1781
Re2 0.0000 0.3219 0.8219
Re3 0.0000 0.1781 0.3219
Re4 0.0000 0.8219 0.6781
Ru1 0.5000 0.2083 0.0611
Ru2 0.5000 0.7917 0.9389
Ru3 0.5000 0.0611 0.7917
Ru4 0.5000 0.7083 0.4389
Ru5 0.5000 0.9389 0.2083
Ru6 0.5000 0.2917 0.5611
Ru7 0.5000 0.5611 0.7083
Ru8 0.5000 0.4389 0.2917
Ru9 0.5000 0.5000 0.0000
Ru10 0.5000 0.0000 0.5000



[23]
The following is a DFT calculation (PBE) of crystalline BeAlReRu2 at its relaxed geometry.

D(E_F)	0.6482	states/eV per atom
E_tot	-6.43	eV/atom
ΔE_f	1263	meV per atom

Lattice parameters (Å, degrees): 4.6666 4.2114 4.6666 90.00 90.00 90.00
Fractional coordinates of all 5 atoms:
Re1 0.0000 0.0000 0.0000
Be1 0.0000 0.5000 0.0000
Al1 0.5000 0.5000 0.5000
Ru1 0.0000 0.0000 0.5000
Ru2 0.5000 0.0000 0.0000



[24]
The following is a DFT calculation (PBE) of crystalline Ta2BeAlRe at its relaxed geometry.

D(E_F)	0.9939	states/eV per atom
E_tot	-7.56	eV/atom
ΔE_f	1165	meV per atom

Lattice parameters (Å, degrees): 4.8796 4.2250 4.8796 90.00 90.00 90.00
Fractional coordinates of all 5 atoms:
Re1 0.0000 0.0000 0.0000
Be1 0.0000 0.5000 0.0000
Al1 0.5000 0.5000 0.5000
Ta1 0.0000 0.0000 0.5000
Ta2 0.5000 0.0000 0.0000



[25]
The following is a DFT calculation (PBE) of crystalline TiBe2AlRe at its relaxed geometry.

D(E_F)	0.8341	states/eV per atom
E_tot	-4.53	eV/atom
ΔE_f	1781	meV per atom

Lattice parameters (Å, degrees): 4.1418 4.5463 4.1418 90.00 90.00 90.00
Last column: magnetic moment on the atom in μB.
Fractional coordinates of all 5 atoms:
Re1 0.5000 0.5000 0.5000  1.57
Be1 0.0000 0.0000 0.5000  0.05
Be2 0.5000 0.0000 0.0000  0.10
Al1 0.0000 0.5000 0.0000  0.02
Ti1 0.0000 0.0000 0.0000  0.82



[26]
The following is a DFT calculation (PBE) of crystalline BeAlV2Re at its relaxed geometry.

D(E_F)	0.9244	states/eV per atom
E_tot	-7.05	eV/atom
ΔE_f	584	meV per atom

Lattice parameters (Å, degrees): 4.1318 3.9680 4.1318 90.00 90.00 90.00
Fractional coordinates of all 5 atoms:
Re1 0.5000 0.5000 0.5000
Be1 0.0000 0.0000 0.0000
Al1 0.0000 0.5000 0.0000
V1 0.0000 0.0000 0.5000
V2 0.5000 0.0000 0.0000



[27]
The following is a DFT calculation (PBE) of crystalline BeAlVRe at its relaxed geometry.

D(E_F)	1.1334	states/eV per atom
E_tot	-7.41	eV/atom
ΔE_f	-153	meV per atom

Lattice parameters (Å, degrees): 4.1891 4.1891 4.1891 60.00 60.00 60.00
Fractional coordinates of all 4 atoms:
Re1 0.5000 0.5000 0.5000
Be1 0.0000 0.0000 0.0000
Al1 0.2500 0.2500 0.2500
V1 0.7500 0.7500 0.7500



[28]
The following is a DFT calculation (PBE) of crystalline YBeAl2Re at its relaxed geometry.

D(E_F)	0.6526	states/eV per atom
E_tot	-5.87	eV/atom
ΔE_f	152	meV per atom

Lattice parameters (Å, degrees): 4.3625 4.4229 4.3625 90.00 90.00 90.00
Fractional coordinates of all 5 atoms:
Y1 0.5000 0.5000 0.5000
Re1 0.0000 0.5000 0.0000
Al1 0.0000 0.0000 0.5000
Al2 0.5000 0.0000 0.0000
Be1 0.0000 0.0000 0.0000



[29]
The following is a DFT calculation (PBE) of crystalline BeAlRh2 at its relaxed geometry.

D(E_F)	0.7718	states/eV per atom
E_tot	-6.13	eV/atom
energy above the lowest structure with this stoichiometry	1.21	eV/f.u.
ΔE_f	-587	meV per atom

Lattice parameters (Å, degrees): 5.0427 5.0427 5.0427 146.75 133.54 58.32
Fractional coordinates of all 4 atoms:
Be1 0.2374 0.7374 0.5000
Rh1 0.0216 0.0216 0.0000
Rh2 0.7522 0.2522 0.5000
Al1 0.4888 0.4888 0.0000